Record 1
A plane-wave DFT calculation with GGA-PBE was carried out for a relaxed structure of Cs2Rb2Sb5.

Its space group is Ima2. The total energy is -2.99 eV per atom.

Unit cell a=11.2643 b=11.2643 c=11.2643 alpha=79.12 beta=133.79 gamma=119.79
Closest atoms and distances in Å follow each position.
Atoms (fractional coordinates):
Cs 0.0000 0.0000 0.0000  6 Sb 3.76-4.17
Cs 0.0000 0.5000 0.5000  6 Sb 3.76-4.17
Cs 0.8481 0.6584 0.6897  6 Sb 3.83-4.07
Cs 0.9687 0.1584 0.3103  6 Sb 3.83-4.07
Rb 0.3612 0.5230 0.1013  5 Sb 3.64-4.03
Rb 0.3612 0.7599 0.3382  5 Sb 3.64-4.03
Rb 0.4217 0.0230 0.6618  5 Sb 3.64-4.03
Rb 0.4217 0.2599 0.8987  5 Sb 3.64-4.03
Sb 0.3969 0.8815 0.0155  2 Sb 3.00
Sb 0.5028 0.2591 0.4006  2 Sb 2.83-3.00
Sb 0.5028 0.6022 0.7436  2 Sb 2.83-3.00
Sb 0.5706 0.1178 0.2687  3 Sb 2.83-3.00
Sb 0.5706 0.8019 0.9527  3 Sb 2.83-3.00
Sb 0.8492 0.3019 0.7313  3 Sb 2.83-3.00
Sb 0.8492 0.6178 0.0473  3 Sb 2.83-3.00
Sb 0.8585 0.1022 0.5994  2 Sb 2.83-3.00
Sb 0.8585 0.7591 0.2564  2 Sb 2.83-3.00
Sb 0.8660 0.3815 0.9845  2 Sb 3.00

---

Record 2
A plane-wave DFT calculation with GGA-PBE was carried out for a relaxed structure of Cs3RbSb.

Its space group is Pm-3m. The total energy is -1.07 eV per atom.

Unit cell a=7.7234 b=7.7234 c=7.7234 alpha=90.00 beta=90.00 gamma=90.00
Closest atoms and distances in Å follow each position.
Atoms (fractional coordinates):
Cs 0.0000 0.0000 0.5000  2 Rb 3.86
Cs 0.0000 0.5000 0.0000  2 Rb 3.86
Cs 0.5000 0.0000 0.0000  2 Rb 3.86
Rb 0.0000 0.0000 0.0000  6 Cs 3.86
Sb 0.5000 0.5000 0.5000  12 Cs 5.46

---

Record 3
A plane-wave DFT calculation with GGA-PBE was carried out for a relaxed structure of CsRbSb4.

Its space group is C2/c. Its energy above the lowest structure with this stoichiometry is 0 meV per atom.

Unit cell a=9.7532 b=9.7532 c=8.0115 alpha=107.58 beta=107.58 gamma=117.33
Closest atoms and distances in Å follow each position.
Atoms (fractional coordinates):
Cs 0.0985 0.9015 0.7500  6 Sb 3.83-4.15
Cs 0.9015 0.0985 0.2500  6 Sb 3.83-4.15
Rb 0.4466 0.5534 0.7500  6 Sb 3.90-3.96, 2 Cs 4.33
Rb 0.5534 0.4466 0.2500  6 Sb 3.90-3.96, 2 Cs 4.33
Sb 0.0303 0.3003 0.8148  2 Sb 2.83-2.88
Sb 0.1930 0.5222 0.2422  2 Sb 2.82-2.83
Sb 0.3003 0.0303 0.3148  2 Sb 2.83-2.88
Sb 0.4778 0.8070 0.2578  2 Sb 2.82-2.83
Sb 0.5222 0.1930 0.7422  2 Sb 2.82-2.83
Sb 0.6997 0.9697 0.6852  2 Sb 2.83-2.88
Sb 0.8070 0.4778 0.7578  2 Sb 2.82-2.83
Sb 0.9697 0.6997 0.1852  2 Sb 2.83-2.88

---

Record 4
A plane-wave DFT calculation with GGA-PBE was carried out for a relaxed structure of CsRb2Sb2.

Its space group is I4/mmm. Its energy above the lowest structure with this stoichiometry is 346 meV per atom.

Unit cell a=8.0071 b=8.0071 c=8.0071 alpha=135.15 beta=135.15 gamma=65.30
Closest atoms and distances in Å follow each position.
Atoms (fractional coordinates):
Cs 0.0000 0.0000 0.0000  8 Sb 4.55, 10 Rb 4.65-5.02
Rb 0.3726 0.3726 0.0000  1 Rb 3.44, 4 Sb 3.47
Rb 0.6274 0.6274 0.0000  1 Rb 3.44, 4 Sb 3.47
Sb 0.2500 0.7500 0.5000  4 Rb 3.47
Sb 0.7500 0.2500 0.5000  4 Rb 3.47

---

Record 5
A plane-wave DFT calculation with GGA-PBE was carried out for a relaxed structure of CsRb2Sb.

Its space group is P4/mmm. The total energy is -1.91 eV per atom.

Unit cell a=5.8680 b=5.8680 c=5.7334 alpha=90.00 beta=90.00 gamma=90.00
Closest atoms and distances in Å follow each position.
Atoms (fractional coordinates):
Cs 0.0000 0.0000 0.0000  8 Rb 4.10, 4 Sb 4.15
Rb 0.0000 0.5000 0.5000  4 Sb 4.10, 4 Cs 4.10, 4 Rb 4.15
Rb 0.5000 0.0000 0.5000  4 Sb 4.10, 4 Cs 4.10, 4 Rb 4.15
Sb 0.5000 0.5000 0.0000  8 Rb 4.10, 4 Cs 4.15

---

Record 6
A plane-wave DFT calculation with GGA-PBE was carried out for a relaxed structure of Cs2Rb4Sb.

Its space group is I4/mmm. The total energy is -1.50 eV per atom.

Unit cell a=13.9532 b=13.9532 c=13.9532 alpha=150.27 beta=150.27 gamma=42.55
Closest atoms and distances in Å follow each position.
Atoms (fractional coordinates):
Cs 0.1809 0.1809 0.0000  5 Rb 4.82-5.21
Cs 0.8191 0.8191 0.0000  5 Rb 4.82-5.21
Rb 0.0000 0.5000 0.5000  2 Sb 3.58
Rb 0.3662 0.3662 0.0000  1 Sb 3.48
Rb 0.5000 0.0000 0.5000  2 Sb 3.58
Rb 0.6338 0.6338 0.0000  1 Sb 3.48
Sb 0.5000 0.5000 0.0000  6 Rb 3.48-3.58

---

Record 7
A plane-wave DFT calculation with GGA-PBE was carried out for a relaxed structure of CsRbSb3.

Its space group is R3m. Its energy above the lowest structure with this stoichiometry is 0 meV per atom.

Unit cell a=7.8057 b=7.8057 c=7.8057 alpha=53.10 beta=53.10 gamma=53.10
Closest atoms and distances in Å follow each position.
Atoms (fractional coordinates):
Cs 0.0000 0.0000 0.0000  6 Sb 3.90-3.96
Rb 0.4366 0.4366 0.4366  6 Sb 3.82
Sb 0.0420 0.0420 0.4535  2 Sb 2.87
Sb 0.0420 0.4535 0.0420  2 Sb 2.87
Sb 0.4535 0.0420 0.0420  2 Sb 2.87

---

Record 8
A plane-wave DFT calculation with GGA-PBE was carried out for a relaxed structure of CsRb2Sb.

Its space group is R3m. The total energy is -2.03 eV per atom.

Unit cell a=7.3579 b=7.3579 c=7.3579 alpha=50.78 beta=50.78 gamma=50.78
Closest atoms and distances in Å follow each position.
Atoms (fractional coordinates):
Cs 0.0000 0.0000 0.0000  7 Rb 3.95-4.38, 4 Sb 4.05-4.33
Rb 0.5413 0.5413 0.5413  3 Sb 3.64, 3 Rb 3.96
Rb 0.7939 0.7939 0.7939  4 Cs 3.95-4.38, 3 Rb 3.96, 3 Sb 3.98
Sb 0.2113 0.2113 0.2113  6 Rb 3.64-3.98, 1 Cs 4.05

---

> Number 8 is which compound?

CsRb2Sb